No. 1
## TaSb (PBE)

Data for a relaxed TaSb crystal.

Geometry as POSCAR:
```
TaSb
1.0
4.347 0.000 0.000
0.000 4.347 0.000
0.000 0.000 8.665
Ta Sb
4 4
Cartesian
0.000 1.087 3.249 Ta
0.000 3.261 5.415 Ta
2.174 1.087 1.083 Ta
2.174 3.261 7.581 Ta
0.000 1.087 7.581 Sb
0.000 3.261 1.083 Sb
2.174 1.087 5.415 Sb
2.174 3.261 3.249 Sb
```

Values from the calculation:
M_tot ... 0.000 μB per cell
Final energy ... -7.61 eV/atom
ΔE_f (raw) ... 381 meV per atom
SG ... I4_1/amd



No. 2
## TaSb (PBE)

Data for a relaxed TaSb crystal.

Geometry as POSCAR:
```
TaSb
1.0
4.529 0.000 0.000
0.000 8.858 0.000
0.000 0.000 6.648
Ta Sb
6 6
Cartesian
0.000 0.000 0.000 Ta
0.000 4.429 3.324 Ta
2.265 1.696 0.333 Ta
2.265 2.733 3.657 Ta
2.265 6.126 3.657 Ta
2.265 7.162 0.333 Ta
0.000 1.527 2.365 Sb
0.000 2.902 5.689 Sb
0.000 5.956 5.689 Sb
0.000 7.331 2.365 Sb
2.265 0.000 4.635 Sb
2.265 4.429 1.310 Sb
```

Values from the calculation:
M_tot ... 0.000 μB per cell
Final energy ... -7.84 eV/atom
ΔE_f (raw) ... 148 meV per atom
SG ... Amm2